# 1
CeSb2Pd3 GGA-PBE relaxed; size of the total moment = 2.47 μB/cell; E_form (uncorrected) = -71.6 kJ/mol of atoms; volume = 380.0 Å³/cell; raw total energy = -102.64 eV for the cell shown
1.0
8.8028 -2.1835 0.0000
8.8028 2.1835 0.0000
-3.1012 0.0000 9.8853
Ce Sb Pd
3 6 9
Direct
0.0000 0.0000 0.0000
0.1590 0.1590 0.7063
0.8410 0.8410 0.2937
0.1966 0.1966 0.1253
0.3600 0.3600 0.5413
0.4635 0.4635 0.2169
0.5365 0.5365 0.7831
0.6400 0.6400 0.4587
0.8034 0.8034 0.8747
0.0419 0.0419 0.3403
0.2127 0.2127 0.3897
0.3229 0.3229 0.0349
0.3815 0.3815 0.8073
0.5000 0.5000 0.5000
0.6185 0.6185 0.1927
0.6771 0.6771 0.9651
0.7873 0.7873 0.6103
0.9581 0.9581 0.6597

***

# 2
Ce2SbPd6 GGA-PBE relaxed; size of the total moment = 0.99 μB/cell; E_form (uncorrected) = -69.4 kJ/mol of atoms; volume = 176.9 Å³/cell; raw total energy = -53.62 eV for the cell shown
1.0
5.7816 0.0000 0.0000
-2.8908 5.0070 0.0000
0.0000 0.0000 6.1114
Ce Sb Pd
2 1 6
Direct
0.3333 0.6667 0.1895
0.6667 0.3333 0.8105
0.0000 0.0000 0.0000
0.1760 0.3520 0.6772
0.1760 0.8240 0.6772
0.3520 0.1760 0.3229
0.6480 0.8240 0.6772
0.8240 0.1760 0.3229
0.8240 0.6480 0.3229

***

# 3
Ce2SnSb3Pd4 GGA-PBE relaxed; size of the total moment = 1.69 μB/cell; E_form (uncorrected) = -74.8 kJ/mol of atoms; volume = 227.0 Å³/cell; raw total energy = -56.76 eV for the cell shown
1.0
4.5645 0.0000 0.0000
0.0000 4.5645 0.0000
0.0000 0.0000 10.8962
Ce Sn Sb Pd
2 1 3 4
Direct
0.0000 0.5000 0.2367
0.5000 0.0000 0.7633
0.0000 0.0000 0.5000
0.0000 0.5000 0.8693
0.5000 0.0000 0.1307
0.5000 0.5000 0.5000
0.0000 0.0000 0.0000
0.0000 0.5000 0.6323
0.5000 0.0000 0.3677
0.5000 0.5000 0.0000

***

# 4
Ce2Sn3SbPd4 GGA-PBE relaxed; size of the total moment = 1.86 μB/cell; E_form (uncorrected) = -68.4 kJ/mol of atoms; volume = 228.0 Å³/cell; raw total energy = -55.86 eV for the cell shown
1.0
4.6508 0.0000 0.0000
0.0000 4.6508 0.0000
0.0000 0.0000 10.5412
Ce Sn Sb Pd
2 3 1 4
Direct
0.0000 0.5000 0.2416
0.5000 0.0000 0.7584
0.0000 0.5000 0.8732
0.5000 0.0000 0.1268
0.5000 0.5000 0.5000
0.0000 0.0000 0.5000
0.0000 0.0000 0.0000
0.0000 0.5000 0.6267
0.5000 0.0000 0.3733
0.5000 0.5000 0.0000

***

# 5
CeSn2Sb2Pd7 GGA-PBE relaxed; size of the total moment = 0.36 μB/cell; E_form (uncorrected) = -43.9 kJ/mol of atoms; volume = 254.4 Å³/cell; raw total energy = -63.99 eV for the cell shown
1.0
2.8640 -2.8774 0.0000
2.8640 2.8774 0.0000
-1.2234 0.0000 15.4360
Ce Sn Sb Pd
1 2 2 7
Direct
0.0000 0.0000 0.0000
0.1352 0.1352 0.4143
0.8648 0.8648 0.5857
0.4454 0.4454 0.7490
0.5546 0.5546 0.2510
0.0300 0.5297 0.1383
0.3754 0.3754 0.5779
0.4703 0.9700 0.8618
0.5000 0.5000 0.0000
0.5297 0.0300 0.1383
0.6246 0.6246 0.4221
0.9700 0.4703 0.8618

***

# 6
Sr2CeSb3Pd4 GGA-PBE relaxed; size of the total moment = 0.99 μB/cell; E_form (uncorrected) = -78.7 kJ/mol of atoms; volume = 248.1 Å³/cell; raw total energy = -50.59 eV for the cell shown
1.0
4.6195 0.0000 0.0000
0.0000 4.6195 0.0000
0.0000 0.0000 11.6242
Sr Ce Sb Pd
2 1 3 4
Direct
0.0000 0.5000 0.2184
0.5000 0.0000 0.7816
0.0000 0.0000 0.5000
0.0000 0.5000 0.8752
0.5000 0.0000 0.1248
0.5000 0.5000 0.5000
0.0000 0.0000 0.0000
0.0000 0.5000 0.6468
0.5000 0.0000 0.3532
0.5000 0.5000 0.0000

***

# 7
SrCe2Sb2Pd2 GGA-PBE relaxed; size of the total moment = 2.03 μB/cell; E_form (uncorrected) = -82.9 kJ/mol of atoms; volume = 182.8 Å³/cell; raw total energy = -38.19 eV for the cell shown
1.0
2.3792 1.3737 9.3198
-2.3792 1.3737 9.3198
0.0000 -2.7473 9.3198
Sr Ce Sb Pd
1 2 2 2
Direct
0.0000 0.0000 0.0000
0.1435 0.1435 0.1435
0.8565 0.8565 0.8565
0.2597 0.2597 0.2597
0.7403 0.7403 0.7403
0.4440 0.4440 0.4440
0.5560 0.5560 0.5560

***

# 8
Ce2ThSb2Pd2 GGA-PBE relaxed; size of the total moment = 1.91 μB/cell; E_form (uncorrected) = -71.0 kJ/mol of atoms; volume = 168.5 Å³/cell; raw total energy = -43.07 eV for the cell shown
1.0
2.3066 1.3317 9.1420
-2.3066 1.3317 9.1420
0.0000 -2.6634 9.1420
Ce Th Sb Pd
2 1 2 2
Direct
0.1424 0.1424 0.1424
0.8576 0.8576 0.8576
0.0000 0.0000 0.0000
0.2664 0.2664 0.2664
0.7336 0.7336 0.7336
0.4273 0.4273 0.4273
0.5727 0.5727 0.5727